# GGA-PBE K3Tm3VSe8, relaxed
# Raw formation energy, kJ/mol of atoms: -142
# Mass density, Mg/m³: 4.9
# Uncorrected energy, eV per atom: -5.049
data_K3Tm3VSe8
_chemical_formula_sum 'K9 Tm9 V3 Se24'
_cell_length_a 8.0376
_cell_length_b 8.0376
_cell_length_c 23.5971
_cell_angle_alpha 90.00
_cell_angle_beta 90.00
_cell_angle_gamma 120.00
_space_group_name_H-M_alt 'R -3 m'
_space_group_IT_number 166
_space_group_name_Hall '-R 3 2"'
loop_
_atom_site_label
_atom_site_fract_x
_atom_site_fract_y
_atom_site_fract_z
K1 0.0000 0.5000 0.0000
Tm1 0.0000 0.5000 0.5000
V1 0.0000 0.0000 0.5000
Se1 0.0000 0.0000 0.2348
Se2 0.0252 0.5126 0.2299

=====

# GGA-PBE K3YTm2Se6, relaxed
# Raw formation energy, kJ/mol of atoms: -170
# Mass density, Mg/m³: 4.8
# Uncorrected energy, eV per atom: -5.059
data_K3YTm2Se6
_chemical_formula_sum 'K6 Y2 Tm4 Se12'
_cell_length_a 7.241
_cell_length_b 12.542
_cell_length_c 8.046
_cell_angle_alpha 90.00
_cell_angle_beta 107.46
_cell_angle_gamma 90.00
_space_group_name_H-M_alt 'C 1 2/m 1'
_space_group_IT_number 12
loop_
_space_group_symop_operation_xyz
'x,y,z'
'-x,-y,-z'
'-x,y,-z'
'x,-y,z'
'x+1/2,y+1/2,z'
'-x+1/2,-y+1/2,-z'
'-x+1/2,y+1/2,-z'
'x+1/2,-y+1/2,z'
loop_
_atom_site_label
_atom_site_fract_x
_atom_site_fract_y
_atom_site_fract_z
K1 0.000 0.000 0.000
K2 0.000 0.334 0.000
Y1 0.000 0.500 0.500
Tm1 0.000 0.167 0.500
Se1 0.231 0.000 0.704
Se2 0.236 0.332 0.704

=====

# GGA-PBE KY4TmSe8, relaxed
# Raw formation energy, kJ/mol of atoms: -169
# Mass density, Mg/m³: 4.5
# Uncorrected energy, eV per atom: -5.990
data_KY4TmSe8
_chemical_formula_sum 'K3 Y12 Tm3 Se24'
_cell_length_a 8.5963
_cell_length_b 8.5963
_cell_length_c 20.8632
_cell_angle_alpha 90.00
_cell_angle_beta 90.00
_cell_angle_gamma 120.00
_space_group_name_H-M_alt 'R 3 m'
_space_group_IT_number 160
_space_group_name_Hall 'R 3 -2"'
loop_
_atom_site_label
_atom_site_fract_x
_atom_site_fract_y
_atom_site_fract_z
K1 0.0000 0.0000 0.0000
Y1 0.0000 0.0000 0.2474
Y2 0.1733 0.3467 0.4546
Tm1 0.0000 0.0000 0.6275
Se1 0.0000 0.0000 0.3805
Se2 0.0000 0.0000 0.8583
Se3 0.0432 0.5216 0.3765
Se4 0.1778 0.3556 0.2044

=====

# GGA-PBE K3Y3TmSe8, relaxed
# Raw formation energy, kJ/mol of atoms: -163
# Mass density, Mg/m³: 4.2
# Uncorrected energy, eV per atom: -5.354
data_K3Y3TmSe8
_chemical_formula_sum 'K9 Y9 Tm3 Se24'
_cell_length_a 8.2847
_cell_length_b 8.2847
_cell_length_c 23.5948
_cell_angle_alpha 90.00
_cell_angle_beta 90.00
_cell_angle_gamma 120.00
_space_group_name_H-M_alt 'R -3 m'
_space_group_IT_number 166
_space_group_name_Hall '-R 3 2"'
loop_
_atom_site_label
_atom_site_fract_x
_atom_site_fract_y
_atom_site_fract_z
K1 0.0000 0.5000 0.0000
Y1 0.0000 0.5000 0.5000
Tm1 0.0000 0.0000 0.5000
Se1 0.0000 0.0000 0.2353
Se2 0.0029 0.5015 0.2338

=====

# GGA-PBE K2YTmSe4, relaxed
# Raw formation energy, kJ/mol of atoms: -170
# Mass density, Mg/m³: 4.6
# Uncorrected energy, eV per atom: -5.146
data_K2YTmSe4
_chemical_formula_sum 'K2 Y1 Tm1 Se4'
_cell_length_a 7.257
_cell_length_b 4.190
_cell_length_c 8.049
_cell_angle_alpha 90.00
_cell_angle_beta 107.47
_cell_angle_gamma 90.00
_space_group_name_H-M_alt 'P 1 2/m 1'
_space_group_IT_number 10
loop_
_space_group_symop_operation_xyz
'x,y,z'
'-x,-y,-z'
'-x,y,-z'
'x,-y,z'
loop_
_atom_site_label
_atom_site_fract_x
_atom_site_fract_y
_atom_site_fract_z
K1 0.000 0.000 0.000
K2 0.500 0.500 0.000
Y1 0.000 0.500 0.500
Tm1 0.500 0.000 0.500
Se1 0.238 0.000 0.705
Se2 0.269 0.500 0.297

=====

# GGA-PBE K3Y2TmSe6, relaxed
# Raw formation energy, kJ/mol of atoms: -170
# Mass density, Mg/m³: 4.4
# Uncorrected energy, eV per atom: -5.233
data_K3Y2TmSe6
_chemical_formula_sum 'K6 Y4 Tm2 Se12'
_cell_length_a 7.272
_cell_length_b 12.597
_cell_length_c 8.053
_cell_angle_alpha 90.00
_cell_angle_beta 107.52
_cell_angle_gamma 90.00
_space_group_name_H-M_alt 'C 1 2/m 1'
_space_group_IT_number 12
loop_
_space_group_symop_operation_xyz
'x,y,z'
'-x,-y,-z'
'-x,y,-z'
'x,-y,z'
'x+1/2,y+1/2,z'
'-x+1/2,-y+1/2,-z'
'-x+1/2,y+1/2,-z'
'x+1/2,-y+1/2,z'
loop_
_atom_site_label
_atom_site_fract_x
_atom_site_fract_y
_atom_site_fract_z
K1 0.000 0.000 0.000
K2 0.000 0.333 0.000
Y1 0.000 0.167 0.500
Tm1 0.000 0.500 0.500
Se1 0.233 0.335 0.705
Se2 0.238 0.000 0.705

=====

# GGA-PBE KTmZnSe3, relaxed
# Raw formation energy, kJ/mol of atoms: -133
# Mass density, Mg/m³: 4.9
# Uncorrected energy, eV per atom: -4.264
data_KTmZnSe3
_chemical_formula_sum 'K2 Tm2 Zn2 Se6'
_cell_length_a 9.035
_cell_length_b 4.104
_cell_length_c 9.853
_cell_angle_alpha 90.00
_cell_angle_beta 108.40
_cell_angle_gamma 90.00
_space_group_name_H-M_alt 'P 1 21/m 1'
_space_group_IT_number 11
loop_
_space_group_symop_operation_xyz
'x,y,z'
'-x,-y,-z'
'-x,y+1/2,-z'
'x,-y+1/2,z'
loop_
_atom_site_label
_atom_site_fract_x
_atom_site_fract_y
_atom_site_fract_z
K1 0.209 0.250 0.234
Tm1 0.331 0.750 0.860
Zn1 0.084 0.250 0.606
Se1 0.111 0.250 0.860
Se2 0.208 0.750 0.538
Se3 0.462 0.750 0.158

=====

# GGA-PBE K2TmZn2Se4, relaxed
# Raw formation energy, kJ/mol of atoms: -106
# Mass density, Mg/m³: 4.7
# Uncorrected energy, eV per atom: -3.666
data_K2TmZn2Se4
_chemical_formula_sum 'K4 Tm2 Zn4 Se8'
_cell_length_a 16.060
_cell_length_b 4.036
_cell_length_c 8.157
_cell_angle_alpha 90.00
_cell_angle_beta 113.35
_cell_angle_gamma 90.00
_space_group_name_H-M_alt 'C 1 2/m 1'
_space_group_IT_number 12
loop_
_space_group_symop_operation_xyz
'x,y,z'
'-x,-y,-z'
'-x,y,-z'
'x,-y,z'
'x+1/2,y+1/2,z'
'-x+1/2,-y+1/2,-z'
'-x+1/2,y+1/2,-z'
'x+1/2,-y+1/2,z'
loop_
_atom_site_label
_atom_site_fract_x
_atom_site_fract_y
_atom_site_fract_z
K1 0.128 0.000 0.062
Tm1 0.000 0.000 0.500
Zn1 0.187 0.500 0.515
Se1 0.029 0.500 0.280
Se2 0.190 0.000 0.712

=====

# GGA-PBE K3Tm3ZrSe8, relaxed
# Raw formation energy, kJ/mol of atoms: -161
# Mass density, Mg/m³: 5.0
# Uncorrected energy, eV per atom: -5.216
data_K3Tm3ZrSe8
_chemical_formula_sum 'K9 Tm9 Zr3 Se24'
_cell_length_a 8.1513
_cell_length_b 8.1513
_cell_length_c 23.4915
_cell_angle_alpha 90.00
_cell_angle_beta 90.00
_cell_angle_gamma 120.00
_space_group_name_H-M_alt 'R -3 m'
_space_group_IT_number 166
_space_group_name_Hall '-R 3 2"'
loop_
_atom_site_label
_atom_site_fract_x
_atom_site_fract_y
_atom_site_fract_z
K1 0.0000 0.5000 0.0000
Tm1 0.0000 0.5000 0.5000
Zr1 0.0000 0.0000 0.5000
Se1 0.0000 0.0000 0.2341
Se2 0.0106 0.5053 0.2323

=====

# GGA-PBE KU4Se6, relaxed
# Raw formation energy, kJ/mol of atoms: -107
# Mass density, Mg/m³: 8.2
# Uncorrected energy, eV per atom: -7.219
data_KU4Se6
_chemical_formula_sum 'K4 U16 Se24'
_cell_length_a 4.073
_cell_length_b 13.668
_cell_length_c 21.199
_cell_angle_alpha 90.00
_cell_angle_beta 90.00
_cell_angle_gamma 90.00
_space_group_name_H-M_alt 'C m c m'
_space_group_IT_number 63
_space_group_name_Hall '-C 2c 2'
loop_
_atom_site_label
_atom_site_fract_x
_atom_site_fract_y
_atom_site_fract_z
K1 0.000 0.169 0.250
U1 0.000 0.092 0.624
U2 0.000 0.358 0.536
Se1 0.000 0.000 0.000
Se2 0.000 0.146 0.750
Se3 0.000 0.267 0.090
Se4 0.000 0.456 0.655

=====

# GGA-PBE KUSe, relaxed
# Raw formation energy, kJ/mol of atoms: -68
# Mass density, Mg/m³: 6.6
# Uncorrected energy, eV per atom: -5.991
data_KUSe
_chemical_formula_sum 'K2 U2 Se2'
_cell_length_a 3.722
_cell_length_b 3.836
_cell_length_c 14.348
_cell_angle_alpha 91.47
_cell_angle_beta 94.09
_cell_angle_gamma 118.97
_space_group_name_H-M_alt 'P 1'
_space_group_IT_number 1
loop_
_space_group_symop_operation_xyz
'x,y,z'
loop_
_atom_site_label
_atom_site_fract_x
_atom_site_fract_y
_atom_site_fract_z
K1 0.000 0.000 0.000
K2 0.420 0.451 0.709
U1 0.284 0.339 0.412
U2 0.788 0.412 0.293
Se1 0.395 0.700 0.161
Se2 0.677 0.053 0.544

=====

# GGA-PBE KU2Se5, relaxed
# Raw formation energy, kJ/mol of atoms: -113
# Mass density, Mg/m³: 6.7
# Uncorrected energy, eV per atom: -6.305
data_KU2Se5
_chemical_formula_sum 'K2 U4 Se10'
_cell_length_a 4.309
_cell_length_b 7.099
_cell_length_c 14.733
_cell_angle_alpha 90.00
_cell_angle_beta 90.00
_cell_angle_gamma 90.00
_space_group_name_H-M_alt 'I m m m'
_space_group_IT_number 71
_space_group_name_Hall '-I 2 2'
loop_
_atom_site_label
_atom_site_fract_x
_atom_site_fract_y
_atom_site_fract_z
K1 0.000 0.000 0.000
U1 0.000 0.500 0.186
Se1 0.000 0.257 0.345
Se2 0.000 0.500 0.000